Entry 1:
# Cr2CuAg

Cr2CuAg after structural relaxation (GGA-PBE, the Alexandria database).

Computed properties:
N(E_F): 4.1 states/eV per cell
excess energy over the best structure of this formula in the dataset: 5.21 kcal/mol of atoms
energy of formation from the pure elements: 0.512 eV/atom
calculated total energy: -24.1 eV/cell

Lattice parameters (Å, degrees): 2.557 4.218 5.082 90.00 96.99 90.00
Space group P2/m (No. 10)
Asymmetric unit:
1 Cr 0.028 0.000 0.299 x2
2 Cu 0.500 0.500 0.500 x1
3 Ag 0.500 0.500 0.000 x1

Entry 2:
# Sm2ScAl

Sm2ScAl after structural relaxation (GGA-PBE, the Alexandria database).

Computed properties:
N(E_F): 27.0 states/eV per cell
excess energy over the best structure of this formula in the dataset: 1.85 kcal/mol of atoms
energy of formation from the pure elements: -0.098 eV/atom
calculated total energy: -79.6 eV/cell

Lattice parameters (Å, degrees): 7.512 7.512 7.512 90.00 90.00 90.00
Space group Fm-3m (No. 225)
Asymmetric unit:
1 Sm 0.250 0.250 0.250 x8
2 Sc 0.000 0.000 0.000 x4
3 Al 0.000 0.000 0.500 x4

Entry 3:
# CsErPbF6

CsErPbF6 after structural relaxation (GGA-PBE, the Alexandria database).

Computed properties:
N(E_F): 0.0 states/eV per cell
calculated total energy: -49.6 eV/cell
formation energy (no corrections): -3.25 eV/atom

Lattice parameters (Å, degrees): 6.4498 6.4498 5.7481 90.00 90.00 120.00
Space group P3 (No. 143)
Asymmetric unit:
1 Cs 0.0000 0.0000 0.0000 x1
2 Er 0.3333 0.6667 0.4730 x1
3 Pb 0.6667 0.3333 0.5042 x1
4 F 0.0193 0.6062 0.2732 x3
5 F 0.0478 0.3885 0.6784 x3

Entry 4:
# RbPuZnSe3

RbPuZnSe3 after structural relaxation (GGA-PBE, the Alexandria database).

Computed properties:
N(E_F): 21.2 states/eV per cell
calculated total energy: -68.3 eV/cell
formation energy (no corrections): -1.19 eV/atom

Lattice parameters (Å, degrees): 9.387 4.220 10.079 90.00 108.51 90.00
Space group P2_1/m (No. 11)
Asymmetric unit:
1 Rb 0.211 0.250 0.237 x2
2 Pu 0.328 0.750 0.856 x2
3 Zn 0.084 0.250 0.609 x2
4 Se 0.113 0.250 0.858 x2
5 Se 0.195 0.750 0.536 x2
6 Se 0.467 0.750 0.154 x2

Entry 5:
# LiCa2Ge2

LiCa2Ge2 after structural relaxation (GGA-PBE, the Alexandria database).

Computed properties:
N(E_F): 18.1 states/eV per cell
energy of formation from the pure elements: -0.506 eV/atom
calculated total energy: -70.7 eV/cell

Lattice parameters (Å, degrees): 10.669 5.849 7.918 90.00 103.56 90.00
Space group C2/c (No. 15)
Asymmetric unit:
1 Li 0.000 0.107 0.250 x4
2 Ca 0.147 0.355 0.641 x8
3 Ge 0.142 0.152 0.000 x8

Entry 6:
# LaLuAgAu

LaLuAgAu after structural relaxation (GGA-PBE, the Alexandria database).

Computed properties:
N(E_F): 17.1 states/eV per cell
energy of formation from the pure elements: -0.531 eV/atom
calculated total energy: -70.8 eV/cell

Lattice parameters (Å, degrees): 7.368 7.368 7.368 90.00 90.00 90.00
Space group F-43m (No. 216)
Asymmetric unit:
1 La 0.000 0.000 0.000 x4
2 Lu 0.000 0.000 0.500 x4
3 Ag 0.250 0.250 0.750 x4
4 Au 0.250 0.250 0.250 x4